Here is an optimized crystal structure of CuMoW2 from the Alexandria database. Energies are from PBE.

Geometry as POSCAR:
```
CuMoW2
1.0
2.757 -3.914 0.000
2.757 3.914 0.000
0.000 0.000 2.829
Cu Mo W
1 1 2
Cartesian
0.000 0.000 0.000 Cu
2.757 0.000 0.000 Mo
1.379 1.957 1.415 W
1.379 -1.957 1.415 W
```

E_form: 358.1 meV/atom
energy relative to the lowest polymorph listed for this composition: 192 meV/atom
total magnetic moment: 0.00 Bohr magnetons per cell
E: -39.40 eV for the cell shown